Here is a geometry-optimized Ce2PtAu structure from Alexandria. Energies are from GGA-PBE.

Geometry as POSCAR:
```
Ce2PtAu
1.0
4.1794 0.0000 0.0000
2.0897 3.6195 0.0000
2.0897 1.2065 7.1489
Ce Pt Au
2 1 1
Direct
0.0752 0.0752 0.7744 Ce
0.2582 0.2582 0.2253 Ce
0.6662 0.6662 0.0013 Pt
0.5004 0.5004 0.4989 Au
```

Results
As for the crystal system: trigonal. For the spin magnetization, the calculation gives 1.7 Bohr magnetons per cell. The density comes out at 10.3 g/cm³. The energy of formation from the pure elements is -0.777 eV per atom.